First-principles (SCAN) data for Sr2NiAg at its PBEsol-relaxed geometry, as listed in Alexandria.

Unit cell a=5.2004 b=5.2004 c=3.7459 alpha=90.00 beta=90.00 gamma=90.00
With the nearest neighbours (Å) after each atom.
Fractional coordinates of all 4 atoms:
Sr 0.0000 0.5000 0.0000  4 Ni 3.20, 4 Ag 3.20
Sr 0.5000 0.0000 0.0000  4 Ni 3.20, 4 Ag 3.20
Ni 0.0000 0.0000 0.5000  8 Sr 3.20
Ag 0.5000 0.5000 0.5000  8 Sr 3.20

Output
Calculated formation energy   0.0422 eV per atom
Calculated density   5.6 g/cm3
Crystal system   tetragonal
N(E_F)   2.2 states/eV per cell
Total DFT energy (no corrections)   -22.9805 eV/atom



First-principles (SCAN) data for Zr2CdCo at its PBEsol-relaxed geometry, as listed in Alexandria.

Unit cell a=2.9812 b=2.9812 c=8.1349 alpha=90.00 beta=90.00 gamma=90.00
With the nearest neighbours (Å) after each atom.
Fractional coordinates of all 4 atoms:
Zr 0.0000 0.0000 0.2063  4 Co 2.69, 4 Zr 2.98
Zr 0.0000 0.0000 0.7937  4 Co 2.69, 4 Zr 2.98
Cd 0.5000 0.5000 0.5000  4 Cd 2.98, 8 Zr 3.19
Co 0.5000 0.5000 0.0000  8 Zr 2.69, 4 Co 2.98

Output
Calculated formation energy   -0.2269 eV per atom
Calculated density   8.1 g/cm3
Crystal system   tetragonal
N(E_F)   3.2 states/eV per cell
Total DFT energy (no corrections)   -27.5060 eV/atom



First-principles (SCAN) data for PRh3Au at its PBEsol-relaxed geometry, as listed in Alexandria.

Unit cell a=4.7421 b=4.7421 c=4.7421 alpha=90.00 beta=90.00 gamma=90.00
With the nearest neighbours (Å) after each atom.
Fractional coordinates of all 5 atoms:
P 0.0000 0.0000 0.0000  12 Rh 3.35
Rh 0.0000 0.5000 0.5000  2 Au 2.37
Rh 0.5000 0.0000 0.5000  2 Au 2.37
Rh 0.5000 0.5000 0.0000  2 Au 2.37
Au 0.5000 0.5000 0.5000  6 Rh 2.37

Output
Calculated formation energy   1.9515 eV per atom
Calculated density   8.4 g/cm3
Crystal system   cubic
N(E_F)   9.2 states/eV per cell
Total DFT energy (no corrections)   -34.2226 eV/atom



First-principles (SCAN) data for AlZn2Tc at its PBEsol-relaxed geometry, as listed in Alexandria.

Unit cell a=8.8896 b=8.8896 c=8.8896 alpha=17.83 beta=17.83 gamma=17.83
With the nearest neighbours (Å) after each atom.
Fractional coordinates of all 4 atoms:
Al 0.0000 0.0000 0.0000  6 Zn 2.74, 6 Al 2.75
Zn 0.2482 0.2482 0.2482  3 Tc 2.66, 3 Al 2.74, 6 Zn 2.75
Zn 0.7518 0.7518 0.7518  3 Tc 2.66, 3 Al 2.74, 6 Zn 2.75
Tc 0.5000 0.5000 0.5000  6 Zn 2.66, 6 Tc 2.75

Output
Calculated formation energy   0.0928 eV per atom
Calculated density   7.4 g/cm3
Crystal system   trigonal
N(E_F)   2.0 states/eV per cell
Total DFT energy (no corrections)   -17.3677 eV/atom